1.
## Pr2YPd (GGA-PBE)

Data for Pr2YPd after structural relaxation.

Cell lengths 3.8769, 3.8769, 29.0806 Å; angles 90.00, 90.00, 120.00 degrees
Last column: nearest neighbours and their distance in Å.
Space group R3m (No. 160, hexagonal axes)
Unique sites:
Pr: 0.0000 0.0000 0.0000 [3 per cell]  3 Pd 2.95
Pr: 0.0000 0.0000 0.2007 [3 per cell]  3 Pd 2.96
Y: 0.0000 0.0000 0.4334 [3 per cell]  6 Pr 3.67-3.68, 6 Y 3.88
Pd: 0.0000 0.0000 0.6005 [3 per cell]  6 Pr 2.95-2.96

Calculated total energy in eV per atom: -5.532
Formation energy from the elements in meV/atom: -228
ρ in Mg/m³: 6.3
DOS(E_F) in states/eV/f.u.: 5.08

2.
## Pr2Y2Pd3 (GGA-PBE)

Data for Pr2Y2Pd3 after structural relaxation.

Cell lengths 14.8027, 5.0158, 5.1205 Å; angles 90.00, 107.43, 90.00 degrees
Last column: nearest neighbours and their distance in Å.
Space group C2/m (No. 12)
Unique sites:
Pr: 0.1234 0.0000 0.1666 [4 per cell]  6 Pd 3.05-3.15
Y: 0.1270 0.5000 0.6543 [4 per cell]  4 Pd 2.94-2.99
Pd: 0.0000 0.5000 0.0000 [2 per cell]  2 Y 2.94, 4 Pr 3.07
Pd: 0.2426 0.0000 0.7730 [4 per cell]  4 Y 2.99-3.32, 4 Pr 3.05-3.15

Calculated total energy in eV per atom: -6.063
Formation energy from the elements in meV/atom: -625
ρ in Mg/m³: 7.1
DOS(E_F) in states/eV/f.u.: 5.82

3.
## Pr2YPd (GGA-PBE)

Data for Pr2YPd after structural relaxation.

Cell lengths 3.7371, 3.7371, 8.5022 Å; angles 90.00, 90.00, 90.00 degrees
Last column: nearest neighbours and their distance in Å.
Space group P4/mmm (No. 123)
Unique sites:
Pr: 0.0000 0.0000 0.2032 [2 per cell]  4 Pd 3.16, 1 Pr 3.45
Y: 0.5000 0.5000 0.5000 [1 per cell]  8 Pr 3.65, 4 Y 3.74
Pd: 0.5000 0.5000 0.0000 [1 per cell]  8 Pr 3.16

Calculated total energy in eV per atom: -5.609
Formation energy from the elements in meV/atom: -305
ρ in Mg/m³: 6.7
DOS(E_F) in states/eV/f.u.: 5.82

4.
## Pr2YPd4 (GGA-PBE)

Data for Pr2YPd4 after structural relaxation.

Cell lengths 5.0640, 5.0640, 15.0730 Å; angles 90.00, 90.00, 90.00 degrees
Last column: nearest neighbours and their distance in Å.
Space group I4/mmm (No. 139)
Unique sites:
Pr: 0.0000 0.0000 0.1361 [4 per cell]  1 Pd 2.77
Y: 0.0000 0.0000 0.5000 [2 per cell]  6 Pd 2.53-2.71
Pd: 0.0000 0.0000 0.3201 [4 per cell]  1 Y 2.71, 1 Pr 2.77
Pd: 0.0000 0.5000 0.0000 [4 per cell]  2 Y 2.53

Calculated total energy in eV per atom: -5.485
Formation energy from the elements in meV/atom: -229
ρ in Mg/m³: 6.8
DOS(E_F) in states/eV/f.u.: 4.66

5.
## Pr2YPd9 (GGA-PBE)

Data for Pr2YPd9 after structural relaxation.

Cell lengths 4.1995, 4.1995, 12.5489 Å; angles 90.00, 90.00, 90.00 degrees
Last column: nearest neighbours and their distance in Å.
Space group P4/mmm (No. 123)
Unique sites:
Pr: 0.0000 0.0000 0.1698 [2 per cell]  12 Pd 2.97-2.99
Y: 0.0000 0.0000 0.5000 [1 per cell]  12 Pd 2.92-2.97
Pd: 0.0000 0.5000 0.0000 [2 per cell]  8 Pd 2.97-2.98, 4 Pr 2.99
Pd: 0.0000 0.5000 0.3386 [4 per cell]  8 Pd 2.92-3.00, 2 Y 2.92, 2 Pr 2.98
Pd: 0.5000 0.5000 0.1684 [2 per cell]  4 Pr 2.97, 8 Pd 2.98-3.00
Pd: 0.5000 0.5000 0.5000 [1 per cell]  8 Pd 2.92, 4 Y 2.97

Calculated total energy in eV per atom: -6.000
Formation energy from the elements in meV/atom: -770
ρ in Mg/m³: 10.0
DOS(E_F) in states/eV/f.u.: 8.03

6.
## PrYPd (GGA-PBE)

Data for PrYPd after structural relaxation.

Cell lengths 3.6179, 3.6179, 12.5581 Å; angles 90.00, 90.00, 90.00 degrees
Last column: nearest neighbours and their distance in Å.
Space group I4mm (No. 107)
Unique sites:
Pr: 0.0000 0.0000 0.0000 [2 per cell]  4 Pd 3.21, 1 Y 3.45
Y: 0.0000 0.0000 0.2750 [2 per cell]  4 Pd 2.98
Pd: 0.0000 0.0000 0.6540 [2 per cell]  4 Y 2.98, 4 Pr 3.21

Calculated total energy in eV per atom: -5.973
Formation energy from the elements in meV/atom: -494
ρ in Mg/m³: 6.8
DOS(E_F) in states/eV/f.u.: 3.23

Question: Which of these has the lowest calculated total energy?
Answer: Pr2Y2Pd3